[1]
## VCrMo4 (PBE-GGA)

Data for VCrMo4 after structural relaxation.

Unit cell a=5.771 b=7.474 c=5.127 alpha=111.20 beta=102.44 gamma=109.15
Element x y z (fractional)
Cr1 0.458 0.832 0.238
Cr2 0.566 0.691 0.754
Mo1 0.777 0.665 0.247
Mo2 0.132 0.994 0.246
Mo3 0.350 0.969 0.746
Mo4 0.786 0.164 0.250
Mo5 0.141 0.513 0.260
Mo6 0.237 0.366 0.749
Mo7 0.894 0.018 0.746
Mo8 0.686 0.312 0.754
V1 0.457 0.335 0.256
V2 0.015 0.642 0.751

* V: 15.018 Å³/atom
* distance to the lowest polymorph of the same formula: 20.3 kJ/mol of atoms
* formation energy: 1.034 eV/f.u.

[2]
## V2Cr3Mo (PBE-GGA)

Data for V2Cr3Mo after structural relaxation.

Unit cell a=2.956 b=4.176 c=6.592 alpha=108.47 beta=90.00 gamma=90.00
Element x y z (fractional)
Cr1 0.500 0.500 0.000
Cr2 0.500 0.169 0.338
Cr3 0.500 0.831 0.662
Mo1 0.000 0.000 0.000
V1 0.000 0.668 0.337
V2 0.000 0.332 0.663

* V: 12.867 Å³/atom
* formation energy: -0.415 eV/f.u.

[3]
## V4Cr5Mo (PBE-GGA)

Data for V4Cr5Mo after structural relaxation.

Unit cell a=2.939 b=2.939 c=14.673 alpha=90.00 beta=90.00 gamma=90.00
Element x y z (fractional)
Cr1 0.500 0.500 0.896
Cr2 0.500 0.500 0.302
Cr3 0.500 0.500 0.500
Cr4 0.500 0.500 0.698
Cr5 0.500 0.500 0.104
V1 0.000 0.000 0.796
V2 0.000 0.000 0.599
V3 0.000 0.000 0.401
V4 0.000 0.000 0.204
Mo1 0.000 0.000 0.000

* V: 12.672 Å³/atom
* formation energy: -0.739 eV/f.u.

[4]
## V2CrMo6 (PBE-GGA)

Data for V2CrMo6 after structural relaxation.

Unit cell a=4.387 b=4.387 c=8.025 alpha=90.00 beta=90.00 gamma=60.00
Element x y z (fractional)
Mo1 0.667 0.667 0.390
Mo2 0.667 0.667 0.724
Mo3 0.333 0.333 0.276
Mo4 0.000 0.000 0.166
Mo5 0.333 0.333 0.610
Mo6 0.000 0.000 0.834
Cr1 0.000 0.000 0.500
V1 0.667 0.667 0.055
V2 0.333 0.333 0.945

* V: 14.863 Å³/atom
* distance to the lowest polymorph of the same formula: 0.0 kJ/mol of atoms
* formation energy: -0.551 eV/f.u.

[5]
## V2Cr2Mo3 (PBE-GGA)

Data for V2Cr2Mo3 after structural relaxation.

Unit cell a=3.037 b=5.043 c=6.745 alpha=97.18 beta=90.03 gamma=107.34
Element x y z (fractional)
Mo1 0.286 0.572 0.846
Mo2 0.000 0.000 0.000
Mo3 0.714 0.428 0.154
V1 0.571 0.142 0.702
V2 0.429 0.858 0.298
Cr1 0.143 0.287 0.433
Cr2 0.857 0.713 0.567

* V: 13.961 Å³/atom
* formation energy: -0.383 eV/f.u.

[6]
## V2Cr4Mo3 (PBE-GGA)

Data for V2Cr4Mo3 after structural relaxation.

Unit cell a=4.237 b=4.237 c=7.776 alpha=90.04 beta=90.04 gamma=59.99
Element x y z (fractional)
Cr1 0.000 0.000 0.331
Cr2 0.667 0.667 0.110
Cr3 0.333 0.333 0.890
Cr4 0.000 0.000 0.669
V1 0.667 0.667 0.784
V2 0.333 0.333 0.216
Mo1 0.667 0.667 0.438
Mo2 0.333 0.333 0.562
Mo3 0.000 0.000 0.000

* V: 13.435 Å³/atom
* formation energy: -0.376 eV/f.u.

What is the V in the fourth record?
14.863 Å³/atom

Which formula does entry 5 have?
V2Cr2Mo3